A geometry-optimized BaReP structure, computed with PBE-GGA.

Values from the calculation:
energy: -0.497 Ry/atom
SG: P-6m2
D(E_F): 0.16 states/eV/atom
distance to the lowest polymorph of the same formula: 339 meV/atom
spin magnetization: 0.0 μB/cell
crystal system: hexagonal
E_form: -169 meV per atom

Lattice parameters (Å, degrees): 4.045 4.045 5.230 90.00 90.00 120.00
Fractional coordinates of all 3 atoms:
Ba 0.000 0.000 0.000
P 0.667 0.333 0.500
Re 0.333 0.667 0.500

=====

A geometry-optimized BaReP structure, computed with PBE-GGA.

Values from the calculation:
energy: -0.341 Ry/atom
SG: F-43m
D(E_F): 1.16 states/eV/atom
distance to the lowest polymorph of the same formula: 2457 meV/atom
spin magnetization: 4.5 μB/cell
crystal system: cubic
E_form: 1949 meV per atom

Lattice parameters (Å, degrees): 5.206 5.206 5.206 60.00 60.00 60.00
Fractional coordinates of all 3 atoms:
Ba 0.750 0.750 0.750
P 0.000 0.000 0.000
Re 0.500 0.500 0.500

=====

A geometry-optimized Ba2ReP structure, computed with PBE-GGA.

Values from the calculation:
energy: -0.348 Ry/atom
SG: P4/mmm
D(E_F): 1.02 states/eV/atom
spin magnetization: 3.0 μB/cell
crystal system: tetragonal
E_form: 686 meV per atom

Lattice parameters (Å, degrees): 3.730 3.730 8.625 90.00 90.00 90.00
Fractional coordinates of all 4 atoms:
Ba 0.000 0.000 0.021
Ba 0.000 0.000 0.479
P 0.500 0.500 0.250
Re 0.500 0.500 0.750

=====

A geometry-optimized BaReP2Ru structure, computed with PBE-GGA.

Values from the calculation:
energy: -0.559 Ry/atom
SG: I-4m2
D(E_F): 0.66 states/eV/atom
spin magnetization: 0.0 μB/cell
crystal system: tetragonal
E_form: -716 meV per atom

Lattice parameters (Å, degrees): 4.093 4.093 6.779 107.57 107.57 90.00
Fractional coordinates of all 5 atoms:
Ba 0.000 0.000 0.000
Re 0.750 0.250 0.500
P 0.655 0.655 0.310
P 0.345 0.345 0.690
Ru 0.250 0.750 0.500

=====

A geometry-optimized BaReP2S8 structure, computed with PBE-GGA.

Values from the calculation:
energy: -0.393 Ry/atom
SG: P-3
D(E_F): 0.65 states/eV/atom
spin magnetization: 0.0 μB/cell
formation energy without anion corrections: -0.50 eV per atom
crystal system: trigonal

Lattice parameters (Å, degrees): 5.942 5.942 8.671 90.00 90.00 120.00
Fractional coordinates of all 12 atoms:
Ba 0.000 0.000 0.000
Re 0.000 0.000 0.500
P 0.667 0.333 0.276
P 0.333 0.667 0.724
S 0.333 0.667 0.956
S 0.321 0.331 0.341
S 0.669 0.990 0.341
S 0.667 0.333 0.044
S 0.331 0.010 0.659
S 0.679 0.669 0.659
S 0.990 0.321 0.659
S 0.010 0.679 0.341

=====

A geometry-optimized BaRePS2 structure, computed with PBE-GGA.

Values from the calculation:
energy: -0.451 Ry/atom
SG: P4/mmm
D(E_F): 0.91 states/eV/atom
distance to the lowest polymorph of the same formula: 0 meV/atom
spin magnetization: 0.8 μB/cell
formation energy without anion corrections: -0.54 eV per atom
crystal system: tetragonal

Lattice parameters (Å, degrees): 4.921 4.921 4.598 90.00 90.00 90.00
Fractional coordinates of all 5 atoms:
Re 0.000 0.000 0.000
S 0.000 0.500 0.000
S 0.500 0.000 0.000
Ba 0.500 0.500 0.500
P 0.000 0.000 0.500

=====

A geometry-optimized BaRePS2 structure, computed with PBE-GGA.

Values from the calculation:
energy: -0.277 Ry/atom
SG: P4/mmm
D(E_F): 0.77 states/eV/atom
distance to the lowest polymorph of the same formula: 2369 meV/atom
spin magnetization: 2.5 μB/cell
formation energy without anion corrections: 1.83 eV per atom
crystal system: tetragonal

Lattice parameters (Å, degrees): 5.721 6.107 5.721 90.00 90.00 90.00
Fractional coordinates of all 5 atoms:
Re 0.500 0.500 0.500
S 0.000 0.000 0.500
S 0.500 0.000 0.000
Ba 0.000 0.000 0.000
P 0.000 0.500 0.000

=====

A geometry-optimized BaReSbP2 structure, computed with PBE-GGA.

Values from the calculation:
energy: -0.434 Ry/atom
SG: P4/mmm
D(E_F): 0.99 states/eV/atom
spin magnetization: 0.0 μB/cell
formation energy without anion corrections: -0.05 eV per atom
crystal system: tetragonal

Lattice parameters (Å, degrees): 4.709 5.681 4.709 90.00 90.00 90.00
Fractional coordinates of all 5 atoms:
Re 0.000 0.000 0.000
Ba 0.500 0.500 0.500
P 0.000 0.000 0.500
P 0.500 0.000 0.000
Sb 0.000 0.500 0.000

=====

A geometry-optimized BaTaReP2 structure, computed with PBE-GGA.

Values from the calculation:
energy: -0.450 Ry/atom
SG: P4/mmm
D(E_F): 1.48 states/eV/atom
spin magnetization: 3.0 μB/cell
crystal system: tetragonal
E_form: 1291 meV per atom

Lattice parameters (Å, degrees): 4.669 5.801 4.669 90.00 90.00 90.00
Fractional coordinates of all 5 atoms:
Re 0.000 0.000 0.000
Ba 0.000 0.500 0.000
P 0.000 0.000 0.500
P 0.500 0.000 0.000
Ta 0.500 0.500 0.500

=====

A geometry-optimized BaReTeP2 structure, computed with PBE-GGA.

Values from the calculation:
energy: -0.299 Ry/atom
SG: P4/mmm
D(E_F): 1.13 states/eV/atom
spin magnetization: 4.3 μB/cell
formation energy without anion corrections: 1.60 eV per atom
crystal system: tetragonal

Lattice parameters (Å, degrees): 5.176 6.372 5.176 90.00 90.00 90.00
Fractional coordinates of all 5 atoms:
Re 0.500 0.500 0.500
Te 0.000 0.000 0.000
Ba 0.000 0.500 0.000
P 0.000 0.000 0.500
P 0.500 0.000 0.000

=====

A geometry-optimized BaV2ReP structure, computed with PBE-GGA.

Values from the calculation:
energy: -0.506 Ry/atom
SG: P4/mmm
D(E_F): 1.74 states/eV/atom
distance to the lowest polymorph of the same formula: 228 meV/atom
spin magnetization: 0.0 μB/cell
crystal system: tetragonal
E_form: 720 meV per atom

Lattice parameters (Å, degrees): 4.638 4.638 4.588 90.00 90.00 90.00
Fractional coordinates of all 5 atoms:
Re 0.000 0.000 0.500
Ba 0.500 0.500 0.500
P 0.000 0.000 0.000
V 0.000 0.500 0.000
V 0.500 0.000 0.000

=====

A geometry-optimized BaV2ReP structure, computed with PBE-GGA.

Values from the calculation:
energy: -0.523 Ry/atom
SG: P4/mmm
D(E_F): 0.73 states/eV/atom
distance to the lowest polymorph of the same formula: 0 meV/atom
spin magnetization: 5.0 μB/cell
crystal system: tetragonal
E_form: 492 meV per atom

Lattice parameters (Å, degrees): 4.970 4.652 4.970 90.00 90.00 90.00
Fractional coordinates of all 5 atoms:
Re 0.000 0.000 0.000
Ba 0.500 0.500 0.500
P 0.000 0.500 0.000
V 0.000 0.000 0.500
V 0.500 0.000 0.000

=====

A geometry-optimized BaYReP2 structure, computed with PBE-GGA.

Values from the calculation:
energy: -0.430 Ry/atom
SG: P4/mmm
D(E_F): 1.28 states/eV/atom
spin magnetization: 0.0 μB/cell
crystal system: tetragonal
E_form: 485 meV per atom

Lattice parameters (Å, degrees): 4.764 5.615 4.764 90.00 90.00 90.00
Fractional coordinates of all 5 atoms:
Y 0.500 0.500 0.500
Re 0.000 0.000 0.000
Ba 0.000 0.500 0.000
P 0.000 0.000 0.500
P 0.500 0.000 0.000

=====

A geometry-optimized BaP3Rh structure, computed with PBE-GGA.

Values from the calculation:
energy: -0.381 Ry/atom
SG: Pm-3m
D(E_F): 1.22 states/eV/atom
distance to the lowest polymorph of the same formula: 0 meV/atom
spin magnetization: 0.0 μB/cell
crystal system: cubic
E_form: -81 meV per atom

Lattice parameters (Å, degrees): 4.804 4.804 4.804 90.00 90.00 90.00
Fractional coordinates of all 5 atoms:
P 0.000 0.500 0.000
P 0.000 0.000 0.500
P 0.500 0.000 0.000
Rh 0.000 0.000 0.000
Ba 0.500 0.500 0.500

=====

A geometry-optimized BaPRh2 structure, computed with PBE-GGA.

Values from the calculation:
energy: -0.422 Ry/atom
SG: P2/m
D(E_F): 0.32 states/eV/atom
spin magnetization: 0.0 μB/cell
crystal system: monoclinic
E_form: -231 meV per atom

Lattice parameters (Å, degrees): 3.547 3.300 7.336 77.67 90.00 90.00
Fractional coordinates of all 4 atoms:
Ba 0.500 0.500 0.000
P 0.500 0.500 0.500
Rh 0.000 0.175 0.659
Rh 0.000 0.825 0.341

=====

A geometry-optimized BaPRh2 structure, computed with PBE-GGA.

Values from the calculation:
energy: -0.378 Ry/atom
SG: C2/m
D(E_F): 1.34 states/eV/atom
spin magnetization: 0.0 μB/cell
crystal system: monoclinic
E_form: 364 meV per atom

Lattice parameters (Å, degrees): 5.548 5.548 3.153 73.41 73.41 110.71
Fractional coordinates of all 4 atoms:
Ba 0.000 0.000 0.000
P 0.500 0.500 0.000
Rh 0.000 0.500 0.000
Rh 0.500 0.000 0.000

=====

A geometry-optimized BaPRh2 structure, computed with PBE-GGA.

Values from the calculation:
energy: -0.374 Ry/atom
SG: F-43m
D(E_F): 1.53 states/eV/atom
spin magnetization: 0.9 μB/cell
crystal system: cubic
E_form: 424 meV per atom

Lattice parameters (Å, degrees): 4.850 4.850 4.850 60.00 60.00 60.00
Fractional coordinates of all 4 atoms:
Ba 0.500 0.500 0.500
P 0.250 0.250 0.250
Rh 0.000 0.000 0.000
Rh 0.750 0.750 0.750

=====

A geometry-optimized Ba2PRh structure, computed with PBE-GGA.

Values from the calculation:
energy: -0.358 Ry/atom
SG: R3m
D(E_F): 0.42 states/eV/atom
spin magnetization: 0.0 μB/cell
crystal system: trigonal
E_form: -725 meV per atom

Lattice parameters (Å, degrees): 4.304 4.304 9.103 76.33 76.33 60.00
Fractional coordinates of all 4 atoms:
Ba 0.470 0.470 0.591
Ba 0.311 0.311 0.067
P 0.723 0.723 0.830
Rh 0.057 0.057 0.829

=====

A geometry-optimized Ba2P7Rh12 structure, computed with PBE-GGA.

Values from the calculation:
energy: -0.508 Ry/atom
SG: P-3
D(E_F): 0.72 states/eV/atom
spin magnetization: 0.0 μB/cell
crystal system: trigonal
E_form: -730 meV per atom

Lattice parameters (Å, degrees): 3.873 9.889 9.889 120.00 90.00 90.00
Fractional coordinates of all 21 atoms:
Ba 0.253 0.333 0.667
Ba 0.747 0.667 0.333
P 0.500 0.000 0.000
P 0.246 0.899 0.292
P 0.246 0.393 0.101
P 0.246 0.708 0.607
P 0.754 0.101 0.708
P 0.754 0.607 0.899
P 0.754 0.292 0.393
Rh 0.249 0.619 0.056
Rh 0.249 0.436 0.381
Rh 0.249 0.944 0.564
Rh 0.751 0.381 0.944
Rh 0.751 0.564 0.619
Rh 0.751 0.056 0.436
Rh 0.252 0.112 0.254
Rh 0.252 0.142 0.888
Rh 0.252 0.746 0.858
Rh 0.748 0.888 0.746
Rh 0.748 0.858 0.112
Rh 0.748 0.254 0.142

=====

A geometry-optimized BaPRh2 structure, computed with PBE-GGA.

Values from the calculation:
energy: -0.383 Ry/atom
SG: I-4m2
D(E_F): 0.90 states/eV/atom
spin magnetization: 0.0 μB/cell
crystal system: tetragonal
E_form: 298 meV per atom

Lattice parameters (Å, degrees): 5.515 5.515 5.515 136.61 136.61 63.04
Fractional coordinates of all 4 atoms:
Ba 0.500 0.500 0.000
P 0.750 0.250 0.500
Rh 0.000 0.000 0.000
Rh 0.250 0.750 0.500

=====

A geometry-optimized Ba2PRh structure, computed with PBE-GGA.

Values from the calculation:
energy: -0.324 Ry/atom
SG: P4/mmm
D(E_F): 1.28 states/eV/atom
spin magnetization: 0.0 μB/cell
crystal system: tetragonal
E_form: -253 meV per atom

Lattice parameters (Å, degrees): 4.060 4.060 6.805 90.00 90.00 90.00
Fractional coordinates of all 4 atoms:
Ba 0.000 0.000 0.256
Ba 0.000 0.000 0.744
P 0.500 0.500 0.500
Rh 0.500 0.500 0.000

=====

A geometry-optimized Ba2P2Rh structure, computed with PBE-GGA.

Values from the calculation:
energy: -0.367 Ry/atom
SG: P4/mbm
D(E_F): 0.67 states/eV/atom
distance to the lowest polymorph of the same formula: 0 meV/atom
spin magnetization: 0.0 μB/cell
crystal system: tetragonal
E_form: -587 meV per atom

Lattice parameters (Å, degrees): 6.631 6.631 5.203 90.00 90.00 90.00
Fractional coordinates of all 10 atoms:
P 0.371 0.871 0.000
P 0.871 0.629 0.000
P 0.629 0.129 0.000
P 0.129 0.371 0.000
Rh 0.000 0.000 0.000
Rh 0.500 0.500 0.000
Ba 0.178 0.678 0.500
Ba 0.678 0.822 0.500
Ba 0.822 0.322 0.500
Ba 0.322 0.178 0.500

=====

A geometry-optimized BaPRh2 structure, computed with PBE-GGA.

Values from the calculation:
energy: -0.446 Ry/atom
SG: Cm
D(E_F): 0.60 states/eV/atom
spin magnetization: 0.0 μB/cell
crystal system: monoclinic
E_form: -563 meV per atom

Lattice parameters (Å, degrees): 4.177 4.177 6.292 73.53 73.53 57.89
Fractional coordinates of all 4 atoms:
Ba 0.466 0.466 0.523
P 0.686 0.686 0.976
Rh 0.036 0.036 0.905
Rh 0.312 0.312 0.095

=====

A geometry-optimized BaPRh2 structure, computed with PBE-GGA.

Values from the calculation:
energy: -0.441 Ry/atom
SG: I-42d
D(E_F): 0.88 states/eV/atom
spin magnetization: 0.0 μB/cell
crystal system: tetragonal
E_form: -496 meV per atom

Lattice parameters (Å, degrees): 5.171 5.171 8.347 71.96 71.96 90.00
Fractional coordinates of all 8 atoms:
P 0.500 0.500 0.000
P 0.250 0.750 0.500
Rh 0.421 0.125 0.250
Rh 0.329 0.625 0.250
Rh 0.375 0.579 0.750
Rh 0.875 0.671 0.750
Ba 0.000 0.000 0.000
Ba 0.750 0.250 0.500

=====

A geometry-optimized BaPRh2 structure, computed with PBE-GGA.

Values from the calculation:
energy: -0.426 Ry/atom
SG: Immm
D(E_F): 0.52 states/eV/atom
spin magnetization: 0.0 μB/cell
crystal system: orthorhombic
E_form: -282 meV per atom

Lattice parameters (Å, degrees): 5.519 5.519 5.519 142.55 114.53 77.93
Fractional coordinates of all 4 atoms:
Ba 0.000 0.500 0.500
P 0.500 0.000 0.500
Rh 0.664 0.664 0.000
Rh 0.336 0.336 0.000

=====

A geometry-optimized BaP2Rh5 structure, computed with PBE-GGA.

Values from the calculation:
energy: -0.502 Ry/atom
SG: Immm
D(E_F): 0.48 states/eV/atom
spin magnetization: 0.0 μB/cell
crystal system: orthorhombic
E_form: -643 meV per atom

Lattice parameters (Å, degrees): 3.926 6.369 6.369 64.98 72.05 72.05
Fractional coordinates of all 8 atoms:
Ba 0.000 0.000 0.000
P 0.771 0.729 0.729
P 0.229 0.271 0.271
Rh 0.000 0.500 0.500
Rh 0.660 0.537 0.144
Rh 0.340 0.463 0.856
Rh 0.340 0.856 0.463
Rh 0.660 0.144 0.537

=====

A geometry-optimized Ba3PRh structure, computed with PBE-GGA.

Values from the calculation:
energy: -0.289 Ry/atom
SG: Pm-3m
D(E_F): 0.29 states/eV/atom
distance to the lowest polymorph of the same formula: 0 meV/atom
spin magnetization: 0.0 μB/cell
crystal system: cubic
E_form: -225 meV per atom

Lattice parameters (Å, degrees): 5.790 5.790 5.790 90.00 90.00 90.00
Fractional coordinates of all 5 atoms:
P 0.500 0.500 0.500
Rh 0.000 0.000 0.000
Ba 0.000 0.500 0.000
Ba 0.000 0.000 0.500
Ba 0.500 0.000 0.000